First-principles (PBE-GGA) data for a geometry-optimized KMg6Hg4 structure, as listed in the Alexandria database.

Geometry as POSCAR:
```
KMg6Hg4
1.0
8.2374 0.0000 0.0000
-4.1187 7.1338 0.0000
0.0000 0.0000 4.6155
K Mg Hg
1 6 4
Cartesian
0.0000 0.0000 0.0000
0.0000 2.9413 2.3078
-1.5715 5.6631 2.3078
4.1187 0.5002 0.0000
2.4925 3.3168 0.0000
1.5715 5.6631 2.3078
5.7449 3.3168 0.0000
0.0000 4.7558 0.0000
2.4512 1.4152 2.3078
5.7862 1.4152 2.3078
4.1187 4.3034 2.3078
```

Summary:
E_tot: -1.2784 eV per atom
DOS(E_F): 3.991 states/eV per cell
symmetry: No. 187
calculated volume: 24.7 A^3/atom

---

First-principles (PBE-GGA) data for a geometry-optimized KMg2Hg structure, as listed in the Alexandria database.

Geometry as POSCAR:
```
KMg2Hg
1.0
3.6432 0.0000 0.0000
-1.8216 3.1551 0.0000
0.0000 0.0000 31.8124
K Mg Hg
3 6 3
Cartesian
0.0000 0.0000 0.0000
0.0000 2.1034 21.2083
1.8216 1.0517 10.6041
0.0000 0.0000 7.3885
0.0000 0.0000 24.4238
0.0000 2.1034 13.8197
0.0000 2.1034 28.5968
1.8216 1.0517 3.2156
1.8216 1.0517 17.9927
0.0000 0.0000 15.9062
0.0000 2.1034 5.3021
1.8216 1.0517 26.5103
```

Summary:
E_tot: -1.0643 eV per atom
DOS(E_F): 9.682 states/eV per cell
symmetry: No. 166
calculated volume: 30.5 A^3/atom

---

First-principles (PBE-GGA) data for a geometry-optimized K4MgHg structure, as listed in the Alexandria database.

Geometry as POSCAR:
```
K4MgHg
1.0
0.0000 5.4992 5.4992
5.4992 0.0000 5.4992
5.4992 5.4992 0.0000
K Mg Hg
4 1 1
Cartesian
1.3729 1.3729 1.3729
4.1263 4.1263 1.3729
4.1263 1.3729 4.1263
1.3729 4.1263 4.1263
8.2488 8.2488 8.2488
5.4992 5.4992 5.4992
```

Summary:
E_tot: -0.8093 eV per atom
DOS(E_F): 4.818 states/eV per cell
symmetry: No. 216
calculated volume: 55.4 A^3/atom

---

First-principles (PBE-GGA) data for a geometry-optimized K3MgHg structure, as listed in the Alexandria database.

Geometry as POSCAR:
```
K3MgHg
1.0
6.6087 0.0000 0.0000
0.0000 6.6087 0.0000
0.0000 0.0000 6.6087
K Mg Hg
3 1 1
Cartesian
0.0000 0.0000 3.3044
0.0000 3.3044 0.0000
3.3044 0.0000 0.0000
3.3044 3.3044 3.3044
0.0000 0.0000 0.0000
```

Summary:
E_tot: -0.8770 eV per atom
DOS(E_F): 3.295 states/eV per cell
symmetry: No. 221
calculated volume: 57.7 A^3/atom
offset from the most stable computed form: 0 kJ/mol of formula units

---

First-principles (PBE-GGA) data for a geometry-optimized KMgHg2 structure, as listed in the Alexandria database.

Geometry as POSCAR:
```
KMgHg2
1.0
4.4032 0.0000 0.0000
-2.2016 3.8133 0.0000
0.0000 0.0000 23.2617
K Mg Hg
3 3 6
Cartesian
0.0000 0.0000 0.0000
0.0000 2.5422 15.5078
2.2016 1.2711 7.7539
0.0000 0.0000 19.2999
0.0000 2.5422 11.5459
2.2016 1.2711 3.7920
0.0000 0.0000 5.2758
0.0000 0.0000 10.1477
0.0000 2.5422 2.3938
0.0000 2.5422 20.7836
2.2016 1.2711 13.0297
2.2016 1.2711 17.9017
```

Summary:
E_tot: -0.9413 eV per atom
DOS(E_F): 5.925 states/eV per cell
symmetry: No. 160
calculated volume: 32.5 A^3/atom

---

First-principles (PBE-GGA) data for a geometry-optimized KMgHg structure, as listed in the Alexandria database.

Geometry as POSCAR:
```
KMgHg
1.0
7.6284 0.0000 0.0000
0.0000 7.6284 0.0000
0.0000 0.0000 7.6284
K Mg Hg
4 4 4
Cartesian
0.0000 0.0000 0.0000
0.0000 3.8142 3.8142
3.8142 0.0000 3.8142
3.8142 3.8142 0.0000
0.0000 0.0000 3.8142
0.0000 3.8142 0.0000
3.8142 0.0000 0.0000
3.8142 3.8142 3.8142
1.9071 1.9071 1.9071
1.9071 5.7213 5.7213
5.7213 1.9071 5.7213
5.7213 5.7213 1.9071
```

Summary:
E_tot: -0.9548 eV per atom
DOS(E_F): 9.237 states/eV per cell
symmetry: No. 216
calculated volume: 37.0 A^3/atom
offset from the most stable computed form: 64 kJ/mol of formula units

---

First-principles (PBE-GGA) data for a geometry-optimized KMg2Hg structure, as listed in the Alexandria database.

Geometry as POSCAR:
```
KMg2Hg
1.0
13.0541 0.0000 0.0000
0.0000 3.3521 0.0000
-2.4161 0.0000 5.3363
K Mg Hg
2 4 2
Cartesian
0.0000 0.0000 0.0000
6.5270 1.6760 0.0000
0.9986 0.0000 3.7996
3.1124 1.6760 1.5368
7.5256 1.6760 3.7996
9.6395 0.0000 1.5368
-1.2080 1.6760 2.6682
5.3190 0.0000 2.6682
```

Summary:
E_tot: -1.1533 eV per atom
DOS(E_F): 4.081 states/eV per cell
symmetry: No. 12
calculated volume: 29.2 A^3/atom

---

First-principles (PBE-GGA) data for a geometry-optimized KMg5Hg3 structure, as listed in the Alexandria database.

Geometry as POSCAR:
```
KMg5Hg3
1.0
2.2661 -7.4887 0.0000
2.2661 7.4887 0.0000
0.0000 0.0000 14.3805
K Mg Hg
2 10 6
Cartesian
2.2661 5.0247 10.7854
2.2661 -5.0247 3.5951
0.0000 0.0000 0.0000
0.0000 0.0000 7.1903
2.2661 4.5676 0.8332
2.2661 4.5676 6.3570
2.2661 0.8528 9.2585
2.2661 0.8528 12.3123
2.2661 -0.8528 2.0682
2.2661 -0.8528 5.1220
2.2661 -4.5676 8.0235
2.2661 -4.5676 13.5473
2.2661 5.6609 3.5951
2.2661 1.7450 0.7598
2.2661 1.7450 6.4305
2.2661 -1.7450 7.9500
2.2661 -1.7450 13.6208
2.2661 -5.6609 10.7854
```

Summary:
E_tot: -1.2691 eV per atom
DOS(E_F): 5.377 states/eV per cell
symmetry: No. 63
calculated volume: 27.1 A^3/atom